1.
# MgZnIn GGA-PBE optimized geometry
data_MgZnIn
_chemical_formula_sum 'Mg2 Zn2 In2'
_symmetry_space_group_name_H-M 'P 1 21/m 1'
_symmetry_Int_Tables_number 11
_symmetry_space_group_name_Hall '-P 2yb'
_cell_length_a 4.4281
_cell_length_b 4.3616
_cell_length_c 6.6369
_cell_angle_alpha 90.00
_cell_angle_beta 104.24
_cell_angle_gamma 90.00
loop_
_atom_site_label
_atom_site_type_symbol
_atom_site_fract_x
_atom_site_fract_y
_atom_site_fract_z
Mg1 Mg 0.1087 0.2500 0.1916
Zn1 Zn 0.2496 0.7500 0.5000
In1 In 0.3890 0.2500 0.8062
# * E_tot: -1.8942 eV per atom
# * formation enthalpy at 0 K: -7.3 kJ/mol of formula units
# * theoretical density: 5.47 g cm⁻³
# * D(E_F): 1.70 states/eV/cell

=====

2.
# BeZnSe2 GGA-PBE optimized geometry
data_BeZnSe2
_chemical_formula_sum 'Be2 Zn2 Se4'
_symmetry_space_group_name_H-M 'P m c 21'
_symmetry_Int_Tables_number 26
_symmetry_space_group_name_Hall 'P 2c -2'
_cell_length_a 3.8284
_cell_length_b 6.6975
_cell_length_c 6.3386
_cell_angle_alpha 90.00
_cell_angle_beta 90.00
_cell_angle_gamma 90.00
loop_
_atom_site_label
_atom_site_type_symbol
_atom_site_fract_x
_atom_site_fract_y
_atom_site_fract_z
Be1 Be 0.0000 0.1599 0.0000
Zn1 Zn 0.5000 0.3289 0.5037
Se1 Se 0.0000 0.1459 0.3564
Se2 Se 0.5000 0.3161 0.8935
# * E_tot: -3.7251 eV per atom
# * E above lowest polymorph: 12.9 meV per atom
# * formation energy (no corrections): -733 meV per atom
# * theoretical density: 4.75 g cm⁻³
# * D(E_F): 0.00 states/eV/cell